Here is an optimized crystal structure of PaCrFeGe from Alexandria. Energies are from PBE.

Structure (POSCAR):
```
PaCrFeGe
1.0
0.0000 3.1354 3.1354
3.1354 0.0000 3.1354
3.1354 3.1354 0.0000
Pa Cr Fe Ge
1 1 1 1
Direct
0.0000 0.0000 0.0000
0.7500 0.7500 0.7500
0.2500 0.2500 0.2500
0.5000 0.5000 0.5000
```

Properties
Magnetic moment   0.62 μB per formula unit
D(E_F)   1.32 states/eV per atom
ΔH_f (0 K)   -0.04 eV per atom

Here is an optimized crystal structure of CrFeTc2Ge from Alexandria. Energies are from PBE.

Structure (POSCAR):
```
CrFeTc2Ge
1.0
4.3842 0.0000 0.0000
0.0000 4.3842 0.0000
0.0000 0.0000 4.2767
Cr Fe Tc Ge
1 1 2 1
Direct
0.0000 0.0000 0.0000
0.5000 0.5000 0.5000
0.0000 0.5000 0.5000
0.5000 0.0000 0.5000
0.5000 0.5000 0.0000
```

Properties
Magnetic moment   0.29 μB per formula unit
D(E_F)   1.75 states/eV per atom
ΔH_f (0 K)   1.33 eV per atom

Here is an optimized crystal structure of V2CrFe7Ge2 from Alexandria. Energies are from PBE.

Structure (POSCAR):
```
V2CrFe7Ge2
1.0
-1.7303 1.7303 12.5093
1.7303 -1.7303 12.5093
1.7303 1.7303 -12.5093
V Cr Fe Ge
2 1 7 2
Direct
0.1714 0.1714 0.0000
0.8286 0.8286 0.0000
0.5000 0.5000 0.0000
0.0000 0.0000 0.0000
0.0710 0.5710 0.5000
0.2653 0.2653 0.0000
0.4290 0.9290 0.5000
0.5710 0.0710 0.5000
0.7347 0.7347 0.0000
0.9290 0.4290 0.5000
0.3610 0.3610 0.0000
0.6390 0.6390 0.0000
```

Properties
Magnetic moment   2.18 μB per formula unit
D(E_F)   0.80 states/eV per atom
ΔH_f (0 K)   0.02 eV per atom

Here is an optimized crystal structure of CrFeGeW from Alexandria. Energies are from PBE.

Structure (POSCAR):
```
CrFeGeW
1.0
0.0000 2.9554 2.9554
2.9554 0.0000 2.9554
2.9554 2.9554 0.0000
Cr Fe Ge W
1 1 1 1
Direct
0.0000 0.0000 0.0000
0.5000 0.5000 0.5000
0.2500 0.2500 0.2500
0.7500 0.7500 0.7500
```

Properties
Magnetic moment   0.00 μB per formula unit
D(E_F)   0.49 states/eV per atom
ΔH_f (0 K)   0.07 eV per atom

> ΔH_f (0 K) of number 4 (CrFeGeW)?

0.07 eV per atom